The following is a PBEsol calculation of a geometry-optimized Rb2GeAu2 structure, from Alexandria via LeMat-Bulk.

Cell lengths 4.5643, 4.5643, 7.8868 Å; angles 106.82, 106.82, 90.00 degrees
Element x y z (fractional)
Rb1 0.2500 0.7500 0.5000
Au1 0.5903 0.5903 0.1806
Rb2 0.7500 0.2500 0.5000
Au2 0.4097 0.4097 0.8194
Ge1 0.0000 0.0000 0.0000

D(E_F): 3.053 states/eV/cell
space group: No. 139
formation enthalpy at 0 K: 0.557 eV/atom

***

The following is a PBEsol calculation of a geometry-optimized Ba2Mo2F11 structure, from Alexandria via LeMat-Bulk.

Cell lengths 8.1700, 8.1700, 13.4771 Å; angles 90.00, 90.00, 120.00 degrees
Each line ends with the local moment (μB).
Element x y z (fractional)
F1 0.6288 0.9217 0.3045  0.04
F2 0.7339 0.6324 0.3141  0.00
F3 0.2930 0.3712 0.6379  0.04
Mo1 0.3921 0.4665 0.7804  2.22
F4 0.2901 0.8574 0.3834  0.04
Ba1 0.4923 0.9946 0.8480  0.00
F5 0.7560 0.7498 0.0249  0.04
F6 0.1426 0.4328 0.0501  0.04
Mo2 0.7935 0.5767 0.9365  2.06
Ba2 0.9104 0.9706 0.6811  0.00
F7 0.6510 0.4311 0.5555  0.06
F8 0.5122 0.4908 0.9161  0.04
Mo3 0.4233 0.2169 0.6032  2.06
F9 0.8985 0.2661 0.6475  0.00
F10 0.7801 0.3490 0.8888  0.06
F11 0.6762 0.2120 0.4082  0.03
F12 0.2502 0.0062 0.6916  0.04
F13 0.3002 0.1645 0.4772  0.06
F14 0.5358 0.3238 0.7415  0.03
F15 0.9786 0.4878 0.2494  0.04
Mo4 0.0744 0.6079 0.1138  2.22
F16 0.3905 0.6631 0.4896  0.06
F17 0.5672 0.7099 0.7167  0.04
Ba3 0.5023 0.5077 0.1813  0.00
F18 0.0783 0.7070 0.9712  0.04
F19 0.1862 0.2222 0.8281  0.05
F20 0.8355 0.1357 0.1438  0.06
F21 0.9938 0.2440 0.3582  0.04
F22 0.7778 0.9640 0.4948  0.05
F23 0.8643 0.6998 0.8105  0.06
F24 0.0360 0.8138 0.1615  0.05
F25 0.2726 0.6095 0.8230  0.06
Ba4 0.0602 0.0896 0.0145  0.00
Ba5 0.0054 0.4977 0.5147  0.00
F26 0.3369 0.7274 0.1563  0.06
F27 0.2006 0.2038 0.1996  0.00
Mo5 0.7831 0.2065 0.2699  2.06
Ba6 0.0294 0.9398 0.3478  0.00
F28 0.7962 0.9968 0.8662  0.00
F29 0.0032 0.7994 0.5329  0.00
F30 0.5689 0.2199 0.2221  0.06
F31 0.7880 0.4642 0.0749  0.03
F32 0.5092 0.0214 0.5827  0.04
Mo6 0.5335 0.9256 0.4471  2.22
F33 0.3676 0.1015 0.9808  0.00

formation energy (no corrections): -2.840 eV per atom
D(E_F): 26.233 states/eV/cell
space group: No. 145